## GaTeH (PBE)

Data for a relaxed GaTeH crystal.

- Calculated density: 4038 kg/m³
- M_tot: 0.0 μB/cell
- Raw total energy: -10.0 eV per cell

Cell lengths 4.1065, 4.1065, 5.5852 Å; angles 90.00, 90.00, 120.00 degrees
With the nearest neighbours (Å) after each atom.
Space group P3m1 (No. 156)
One atom of each set of equivalent atoms:
Ga  0.0000  0.0000  0.0000  1 H 1.56
Te  0.3333  0.6667  0.2231  3 Ga 2.68
H  0.0000  0.0000  0.7209  1 Ga 1.56